--- one ---
Computed, not measured: an optimized crystal structure of NdHo6Sc4 at the GGA-PBE level of DFT.

abc: 5.4735 9.4030 24.9056
angles: 90.00 90.00 90.00
Space group Cmcm (No. 63)
Asymmetric unit:
Nd: 0.0000 0.1756 0.2500 [4 per cell]
Ho: 0.0000 0.1574 0.6776 [8 per cell]
Ho: 0.0000 0.1746 0.0961 [8 per cell]
Ho: 0.0000 0.4904 0.7500 [4 per cell]
Ho: 0.0000 0.5000 0.0000 [4 per cell]
Sc: 0.0000 0.1632 0.5426 [8 per cell]
Sc: 0.0000 0.4904 0.6229 [8 per cell]

--- two ---
Computed, not measured: an optimized crystal structure of NdHo6Sc4 at the GGA-PBE level of DFT.

abc: 8.6832 8.6832 5.2324
angles: 90.00 90.00 120.00
Space group P-6m2 (No. 187)
Asymmetric unit:
Nd: 0.0000 0.0000 0.0000 [1 per cell]
Ho: 0.2016 0.4032 0.5000 [3 per cell]
Ho: 0.5338 0.0676 0.0000 [3 per cell]
Sc: 0.3333 0.6667 0.0000 [1 per cell]
Sc: 0.4265 0.2133 0.5000 [3 per cell]

On energetic grounds, one is preferred over the next structure by 196 meV per atom.

--- one ---
Computed, not measured: an optimized crystal structure of Nd4Ho2Sc at the GGA-PBE level of DFT.

abc: 6.1514 12.8932 5.9720
angles: 90.00 90.00 90.00
Space group Cmmm (No. 65)
Asymmetric unit:
Nd: 0.0000 0.1360 0.0000 [4 per cell]
Nd: 0.0000 0.3126 0.5000 [4 per cell]
Ho: 0.0000 0.3876 0.0000 [4 per cell]
Sc: 0.0000 0.0000 0.5000 [2 per cell]

--- two ---
Computed, not measured: an optimized crystal structure of Nd4Ho2Sc at the GGA-PBE level of DFT.

abc: 6.1827 25.0137 6.1944
angles: 90.00 109.17 90.00
Space group C2/c (No. 15)
Asymmetric unit:
Nd: 0.0000 0.0360 0.2500 [4 per cell]
Nd: 0.0000 0.2482 0.7500 [4 per cell]
Nd: 0.0000 0.3223 0.2500 [4 per cell]
Nd: 0.0000 0.4624 0.2500 [4 per cell]
Ho: 0.0000 0.1768 0.2500 [4 per cell]
Ho: 0.0000 0.3926 0.7500 [4 per cell]
Sc: 0.0000 0.1074 0.7500 [4 per cell]

On energetic grounds, two is preferred over the next structure by 491 meV per atom.

--- one ---
Computed, not measured: an optimized crystal structure of Nd4Ho3Sc at the GGA-PBE level of DFT.

abc: 23.1161 3.5896 6.1974
angles: 90.00 94.98 90.00
Space group C2/m (No. 12)
Asymmetric unit:
Nd: 0.1215 0.0000 0.3761 [4 per cell]
Nd: 0.1244 0.5000 0.8736 [4 per cell]
Ho: 0.0000 0.0000 0.0000 [2 per cell]
Ho: 0.2494 0.5000 0.2504 [4 per cell]
Sc: 0.0000 0.5000 0.5000 [2 per cell]

--- two ---
Computed, not measured: an optimized crystal structure of Nd4Ho3Sc at the GGA-PBE level of DFT.

abc: 26.5429 5.4516 3.6790
angles: 90.00 97.96 90.00
Space group C2/m (No. 12)
Asymmetric unit:
Nd: 0.0949 0.0000 0.0956 [4 per cell]
Nd: 0.2186 0.0000 0.2171 [4 per cell]
Ho: 0.0000 0.5000 0.0000 [2 per cell]
Ho: 0.1393 0.5000 0.6394 [4 per cell]
Sc: 0.0000 0.0000 0.5000 [2 per cell]

On energetic grounds, one is preferred over the next structure by 124 meV per atom.

--- one ---
Computed, not measured: an optimized crystal structure of Nd6HoSc2 at the GGA-PBE level of DFT.

abc: 9.2183 17.4909 3.6085
angles: 90.00 90.00 90.00
Space group Cmmm (No. 65)
Asymmetric unit:
Nd: 0.1781 0.1667 0.0000 [8 per cell]
Nd: 0.1824 0.0000 0.5000 [4 per cell]
Ho: 0.0000 0.5000 0.0000 [2 per cell]
Sc: 0.0000 0.3235 0.5000 [4 per cell]

--- two ---
Computed, not measured: an optimized crystal structure of Nd6HoSc2 at the GGA-PBE level of DFT.

abc: 8.0666 8.0666 10.3958
angles: 90.00 90.00 90.00
Space group P4_2/mnm (No. 136)
Asymmetric unit:
Nd: 0.2316 0.2316 0.0000 [4 per cell]
Nd: 0.2426 0.2426 0.3305 [8 per cell]
Ho: 0.0000 0.0000 0.5000 [2 per cell]
Sc: 0.0000 0.0000 0.1674 [4 per cell]

On energetic grounds, one is preferred over the next structure by 405 meV per atom.

--- one ---
Computed, not measured: an optimized crystal structure of Nd4HoSc3 at the GGA-PBE level of DFT.

abc: 11.1779 7.1707 6.1279
angles: 90.00 90.00 90.00
Space group Pmn2_1 (No. 31)
Asymmetric unit:
Nd: 0.0000 0.1184 0.0000 [2 per cell]
Nd: 0.0000 0.6327 0.9891 [2 per cell]
Nd: 0.2491 0.6272 0.3302 [4 per cell]
Ho: 0.0000 0.8811 0.5046 [2 per cell]
Sc: 0.0000 0.3690 0.4868 [2 per cell]
Sc: 0.2444 0.1212 0.3367 [4 per cell]

--- two ---
Computed, not measured: an optimized crystal structure of Nd4HoSc3 at the GGA-PBE level of DFT.

abc: 27.3318 3.4731 5.6781
angles: 90.00 93.64 90.00
Space group C2/m (No. 12)
Asymmetric unit:
Nd: 0.0998 0.0000 0.0308 [4 per cell]
Nd: 0.1900 0.0000 0.5606 [4 per cell]
Ho: 0.0000 0.0000 0.5000 [2 per cell]
Sc: 0.0000 0.5000 0.0000 [2 per cell]
Sc: 0.2057 0.5000 0.0696 [4 per cell]

On energetic grounds, one is preferred over the next structure by 243 meV per atom.

--- one ---
Computed, not measured: an optimized crystal structure of Nd2Ho4Sc at the GGA-PBE level of DFT.

abc: 5.3506 5.3506 17.3000
angles: 90.00 90.00 90.00
Space group I4/mmm (No. 139)
Asymmetric unit:
Nd: 0.0000 0.0000 0.1269 [4 per cell]
Ho: 0.0000 0.0000 0.3260 [4 per cell]
Ho: 0.0000 0.5000 0.0000 [4 per cell]
Sc: 0.0000 0.0000 0.5000 [2 per cell]

--- two ---
Computed, not measured: an optimized crystal structure of Nd2Ho4Sc at the GGA-PBE level of DFT.

abc: 6.6997 12.0160 11.1559
angles: 90.00 90.06 90.00
Space group C2/c (No. 15)
Asymmetric unit:
Nd: 0.0000 0.0341 0.2500 [4 per cell]
Nd: 0.0000 0.3230 0.2500 [4 per cell]
Ho: 0.0001 0.2221 0.5445 [8 per cell]
Ho: 0.2211 0.4999 0.9998 [8 per cell]
Sc: 0.0000 0.3994 0.7500 [4 per cell]

On energetic grounds, two is preferred over the next structure by 364 meV per atom.